Entry from Alexandria via LeMat-Bulk: crystalline YVBiAs2 at its relaxed geometry (PBE-GGA).

Cell lengths 5.485, 4.996, 5.485 Å; angles 90.00, 90.00, 90.00 degrees
Fractional positions:
Y (0.500, 0.500, 0.500)
As (0.000, 0.000, 0.500)
As (0.500, 0.000, 0.000)
Bi (0.000, 0.000, 0.000)
V (0.000, 0.500, 0.000)

Results
Symmetry = No. 123
ΔH_f (0 K) = 790 meV per atom

---

Entry from Alexandria via LeMat-Bulk: crystalline BiAs2W at its relaxed geometry (PBE-GGA).

Cell lengths 6.241, 6.241, 7.376 Å; angles 64.97, 64.97, 90.00 degrees
Fractional positions:
As (0.557, 0.125, 0.250)
As (0.193, 0.625, 0.250)
As (0.375, 0.443, 0.750)
As (0.875, 0.807, 0.750)
Bi (0.000, 0.000, 0.000)
Bi (0.750, 0.250, 0.500)
W (0.500, 0.500, 0.000)
W (0.250, 0.750, 0.500)

Results
Symmetry = No. 122
ΔH_f (0 K) = 570 meV per atom

---

Entry from Alexandria via LeMat-Bulk: crystalline BiAs3W at its relaxed geometry (PBE-GGA).

Cell lengths 4.949, 4.949, 4.949 Å; angles 90.00, 90.00, 90.00 degrees
Fractional positions:
As (0.000, 0.500, 0.000)
As (0.000, 0.000, 0.500)
As (0.500, 0.000, 0.000)
Bi (0.500, 0.500, 0.500)
W (0.000, 0.000, 0.000)

Results
Symmetry = No. 221
ΔH_f (0 K) = 530 meV per atom

---

Entry from Alexandria via LeMat-Bulk: crystalline Bi3AsW at its relaxed geometry (PBE-GGA).

Cell lengths 5.356, 5.356, 5.356 Å; angles 90.00, 90.00, 90.00 degrees
Fractional positions:
As (0.500, 0.500, 0.500)
Bi (0.000, 0.500, 0.000)
Bi (0.000, 0.000, 0.500)
Bi (0.500, 0.000, 0.000)
W (0.000, 0.000, 0.000)

Results
Symmetry = No. 221
ΔH_f (0 K) = 896 meV per atom

---

Entry from Alexandria via LeMat-Bulk: crystalline Bi3AsW at its relaxed geometry (PBE-GGA).

Cell lengths 5.447, 5.447, 5.447 Å; angles 90.00, 90.00, 90.00 degrees
Fractional positions:
As (0.000, 0.000, 0.000)
Bi (0.000, 0.500, 0.000)
Bi (0.000, 0.000, 0.500)
Bi (0.500, 0.000, 0.000)
W (0.500, 0.500, 0.500)

Results
Symmetry = No. 221
ΔH_f (0 K) = 1560 meV per atom

---

Entry from Alexandria via LeMat-Bulk: crystalline Bi2AsW at its relaxed geometry (PBE-GGA).

Cell lengths 6.563, 6.563, 7.930 Å; angles 65.56, 65.56, 90.00 degrees
Fractional positions:
As (0.500, 0.500, 0.000)
As (0.250, 0.750, 0.500)
Bi (0.641, 0.125, 0.250)
Bi (0.109, 0.625, 0.250)
Bi (0.375, 0.359, 0.750)
Bi (0.875, 0.891, 0.750)
W (0.000, 0.000, 0.000)
W (0.750, 0.250, 0.500)

Results
Symmetry = No. 122
ΔH_f (0 K) = 1148 meV per atom